(1)
! Cr3PIr (GGA-PBE, relaxed); values from VASP
! - Density: 9.0 g/cm3
! - Energy above the most stable polymorph in this dataset: 0.00 kJ per mole of atoms
! - Density of states at the Fermi level: 1.26 states/eV per atom
&SYSTEM
  ibrav = 0, nat = 5, ntyp = 3
/
ATOMIC_SPECIES
Cr 52.00 Cr.upf
Ir 192.22 Ir.upf
P 30.97 P.upf
CELL_PARAMETERS angstrom
4.1224 0.0000 0.0000
0.0000 4.1224 0.0000
0.0000 0.0000 4.1224
ATOMIC_POSITIONS angstrom
Cr 0.0000 2.0612 0.0000
Ir 2.0612 2.0612 2.0612
P 0.0000 0.0000 0.0000
Cr 0.0000 0.0000 2.0612
Cr 2.0612 0.0000 0.0000



(2)
! Sc2InPt (GGA-PBE, relaxed); values from VASP
! - Density: 7.3 g/cm3
! - Density of states at the Fermi level: 0.85 states/eV per atom
&SYSTEM
  ibrav = 0, nat = 4, ntyp = 3
/
ATOMIC_SPECIES
In 114.82 In.upf
Sc 44.96 Sc.upf
Pt 195.08 Pt.upf
CELL_PARAMETERS angstrom
9.2552 -0.0026 -0.0015
8.6319 3.3390 -0.0015
8.6319 1.6101 2.9252
ATOMIC_POSITIONS angstrom
In 13.0146 2.4276 1.4341
Sc 0.4044 0.0754 0.0446
Pt 19.8137 3.6958 2.1833
Sc 6.5458 1.2210 0.7213



The calculation returns the following V values, one per record and in order: 14.0 22.6 Å³ per atom.
The calculation returns the following uncorrected energy values, one per record and in order: -8.04 -5.71 eV/atom.
The calculation returns the following E_form values, one per record and in order: 0.5919 -0.3531 eV per atom.